(1)
Compound: CdCu4Ni
Source: the Alexandria database
Functional: PBE
Structure: optimized geometry

Structure (CIF):
```
data_CdCu4Ni
_chemical_formula_sum 'Cd1 Cu4 Ni1'
_space_group_name_H-M_alt 'P 1'
_space_group_IT_number 1
_space_group_name_Hall 'P 1'
_cell_length_a 4.8485
_cell_length_b 4.8485
_cell_length_c 4.8485
_cell_angle_alpha 60.00
_cell_angle_beta 60.00
_cell_angle_gamma 60.00
loop_
_atom_site_label
_atom_site_fract_x
_atom_site_fract_y
_atom_site_fract_z
Cd1 0.0000 0.0000 0.0000
Cu1 0.1265 0.6245 0.6245
Cu2 0.6245 0.1265 0.6245
Cu3 0.6245 0.6245 0.1265
Cu4 0.6245 0.6245 0.6245
Ni1 0.2500 0.2500 0.2500
```

Calculated values
N(E_F), states/eV per cell: 3.4
Calculated formation energy, eV/atom: 0.1085
Crystal system: cubic

(2)
Compound: CdCu2Ni
Source: the Alexandria database
Functional: PBE
Structure: optimized geometry

Structure (CIF):
```
data_CdCu2Ni
_chemical_formula_sum 'Cd2 Cu4 Ni2'
_space_group_name_H-M_alt 'P 1'
_space_group_IT_number 1
_space_group_name_Hall 'P 1'
_cell_length_a 5.3749
_cell_length_b 7.4088
_cell_length_c 2.7659
_cell_angle_alpha 90.00
_cell_angle_beta 90.00
_cell_angle_gamma 90.00
loop_
_atom_site_label
_atom_site_fract_x
_atom_site_fract_y
_atom_site_fract_z
Cd1 0.0000 0.0000 0.0000
Cd2 0.5000 0.5000 0.0000
Cu1 0.2500 0.2500 0.5000
Cu2 0.2500 0.7500 0.5000
Cu3 0.7500 0.2500 0.5000
Cu4 0.7500 0.7500 0.5000
Ni1 0.0000 0.5000 0.0000
Ni2 0.5000 0.0000 0.0000
```

Calculated values
N(E_F), states/eV per cell: 4.0
Calculated formation energy, eV/atom: 0.1351
Crystal system: orthorhombic

(3)
Compound: Cd3CuNi
Source: the Alexandria database
Functional: PBE
Structure: optimized geometry

Structure (CIF):
```
data_Cd3CuNi
_chemical_formula_sum 'Cd3 Cu1 Ni1'
_space_group_name_H-M_alt 'P 1'
_space_group_IT_number 1
_space_group_name_Hall 'P 1'
_cell_length_a 4.8674
_cell_length_b 4.8674
_cell_length_c 4.8674
_cell_angle_alpha 90.00
_cell_angle_beta 90.00
_cell_angle_gamma 90.00
loop_
_atom_site_label
_atom_site_fract_x
_atom_site_fract_y
_atom_site_fract_z
Cd1 0.0000 0.0000 0.5000
Cd2 0.0000 0.5000 0.0000
Cd3 0.5000 0.0000 0.0000
Cu1 0.0000 0.0000 0.0000
Ni1 0.5000 0.5000 0.5000
```

Calculated values
N(E_F), states/eV per cell: 4.0
Calculated formation energy, eV/atom: 0.6800
Crystal system: cubic

(4)
Compound: CdCuNi2
Source: the Alexandria database
Functional: PBE
Structure: optimized geometry

Structure (CIF):
```
data_CdCuNi2
_chemical_formula_sum 'Cd1 Cu1 Ni2'
_space_group_name_H-M_alt 'P 1'
_space_group_IT_number 1
_space_group_name_Hall 'P 1'
_cell_length_a 4.5225
_cell_length_b 2.7334
_cell_length_c 4.5578
_cell_angle_alpha 90.00
_cell_angle_beta 108.23
_cell_angle_gamma 90.00
loop_
_atom_site_label
_atom_site_fract_x
_atom_site_fract_y
_atom_site_fract_z
Cd1 0.0000 0.0000 0.0000
Cu1 0.0000 0.5000 0.5000
Ni1 0.5000 0.0000 0.5000
Ni2 0.5000 0.5000 0.0000
```

Calculated values
N(E_F), states/eV per cell: 3.0
Calculated formation energy, eV/atom: 0.1495
Crystal system: monoclinic

(5)
Compound: CdCuNi2
Source: the Alexandria database
Functional: PBE
Structure: optimized geometry

Structure (CIF):
```
data_CdCuNi2
_chemical_formula_sum 'Cd2 Cu2 Ni4'
_space_group_name_H-M_alt 'P 1'
_space_group_IT_number 1
_space_group_name_Hall 'P 1'
_cell_length_a 2.8893
_cell_length_b 4.3229
_cell_length_c 8.5867
_cell_angle_alpha 90.00
_cell_angle_beta 90.00
_cell_angle_gamma 90.00
loop_
_atom_site_label
_atom_site_fract_x
_atom_site_fract_y
_atom_site_fract_z
Cd1 0.0000 0.0000 0.0000
Cd2 0.5000 0.5000 0.5000
Cu1 0.0000 0.5000 0.2345
Cu2 0.5000 0.0000 0.7345
Ni1 0.0000 0.0000 0.4959
Ni2 0.0000 0.5000 0.7640
Ni3 0.5000 0.0000 0.2640
Ni4 0.5000 0.5000 0.9959
```

Calculated values
N(E_F), states/eV per cell: 8.8
Calculated formation energy, eV/atom: 0.1361
Crystal system: orthorhombic

(6)
Compound: CdCu2Ni
Source: the Alexandria database
Functional: PBE
Structure: optimized geometry

Structure (CIF):
```
data_CdCu2Ni
_chemical_formula_sum 'Cd2 Cu4 Ni2'
_space_group_name_H-M_alt 'P 1'
_space_group_IT_number 1
_space_group_name_Hall 'P 1'
_cell_length_a 3.8196
_cell_length_b 3.8196
_cell_length_c 7.5022
_cell_angle_alpha 90.00
_cell_angle_beta 90.00
_cell_angle_gamma 90.00
loop_
_atom_site_label
_atom_site_fract_x
_atom_site_fract_y
_atom_site_fract_z
Cd1 0.0000 0.0000 0.0000
Cd2 0.5000 0.5000 0.5000
Cu1 0.0000 0.0000 0.5000
Cu2 0.0000 0.5000 0.7500
Cu3 0.5000 0.0000 0.2500
Cu4 0.5000 0.5000 0.0000
Ni1 0.0000 0.5000 0.2500
Ni2 0.5000 0.0000 0.7500
```

Calculated values
N(E_F), states/eV per cell: 3.1
Calculated formation energy, eV/atom: 0.0736
Crystal system: tetragonal

(7)
Compound: CdCu2Ni
Source: the Alexandria database
Functional: PBE
Structure: optimized geometry

Structure (CIF):
```
data_CdCu2Ni
_chemical_formula_sum 'Cd1 Cu2 Ni1'
_space_group_name_H-M_alt 'P 1'
_space_group_IT_number 1
_space_group_name_Hall 'P 1'
_cell_length_a 2.8372
_cell_length_b 3.3088
_cell_length_c 5.8759
_cell_angle_alpha 90.00
_cell_angle_beta 90.00
_cell_angle_gamma 90.00
loop_
_atom_site_label
_atom_site_fract_x
_atom_site_fract_y
_atom_site_fract_z
Cd1 0.0000 0.0000 0.0000
Cu1 0.5000 0.5000 0.2873
Cu2 0.5000 0.5000 0.7127
Ni1 0.0000 0.0000 0.5000
```

Calculated values
N(E_F), states/eV per cell: 1.7
Calculated formation energy, eV/atom: 0.0763
Crystal system: orthorhombic

(8)
Compound: CdCuNi2
Source: the Alexandria database
Functional: PBE
Structure: optimized geometry

Structure (CIF):
```
data_CdCuNi2
_chemical_formula_sum 'Cd4 Cu4 Ni8'
_space_group_name_H-M_alt 'P 1'
_space_group_IT_number 1
_space_group_name_Hall 'P 1'
_cell_length_a 5.9775
_cell_length_b 5.9775
_cell_length_c 5.9775
_cell_angle_alpha 90.00
_cell_angle_beta 90.00
_cell_angle_gamma 90.00
loop_
_atom_site_label
_atom_site_fract_x
_atom_site_fract_y
_atom_site_fract_z
Cd1 0.0000 0.0000 0.0000
Cd2 0.0000 0.5000 0.5000
Cd3 0.5000 0.0000 0.5000
Cd4 0.5000 0.5000 0.0000
Cu1 0.2500 0.2500 0.7500
Cu2 0.2500 0.7500 0.2500
Cu3 0.7500 0.2500 0.2500
Cu4 0.7500 0.7500 0.7500
Ni1 0.0000 0.0000 0.5000
Ni2 0.0000 0.5000 0.0000
Ni3 0.2500 0.2500 0.2500
Ni4 0.2500 0.7500 0.7500
Ni5 0.5000 0.0000 0.0000
Ni6 0.5000 0.5000 0.5000
Ni7 0.7500 0.2500 0.7500
Ni8 0.7500 0.7500 0.2500
```

Calculated values
N(E_F), states/eV per cell: 23.6
Calculated formation energy, eV/atom: 0.1378
Crystal system: cubic

(9)
Compound: CdCuNi2
Source: the Alexandria database
Functional: PBE
Structure: optimized geometry

Structure (CIF):
```
data_CdCuNi2
_chemical_formula_sum 'Cd1 Cu1 Ni2'
_space_group_name_H-M_alt 'P 1'
_space_group_IT_number 1
_space_group_name_Hall 'P 1'
_cell_length_a 2.9630
_cell_length_b 2.9891
_cell_length_c 6.0065
_cell_angle_alpha 90.00
_cell_angle_beta 90.00
_cell_angle_gamma 90.00
loop_
_atom_site_label
_atom_site_fract_x
_atom_site_fract_y
_atom_site_fract_z
Cd1 0.0000 0.0000 0.0000
Cu1 0.0000 0.0000 0.5000
Ni1 0.5000 0.5000 0.2848
Ni2 0.5000 0.5000 0.7152
```

Calculated values
N(E_F), states/eV per cell: 1.4
Calculated formation energy, eV/atom: 0.0713
Crystal system: orthorhombic

(10)
Compound: CdCuNi4
Source: the Alexandria database
Functional: PBE
Structure: optimized geometry

Structure (CIF):
```
data_CdCuNi4
_chemical_formula_sum 'Cd1 Cu1 Ni4'
_space_group_name_H-M_alt 'P 1'
_space_group_IT_number 1
_space_group_name_Hall 'P 1'
_cell_length_a 4.7671
_cell_length_b 4.7671
_cell_length_c 4.7671
_cell_angle_alpha 60.00
_cell_angle_beta 60.00
_cell_angle_gamma 60.00
loop_
_atom_site_label
_atom_site_fract_x
_atom_site_fract_y
_atom_site_fract_z
Cd1 0.0000 0.0000 0.0000
Cu1 0.7500 0.7500 0.7500
Ni1 0.3755 0.3755 0.3755
Ni2 0.3755 0.3755 0.8736
Ni3 0.3755 0.8736 0.3755
Ni4 0.8736 0.3755 0.3755
```

Calculated values
N(E_F), states/eV per cell: 5.0
Calculated formation energy, eV/atom: 0.0930
Crystal system: cubic

(11)
Compound: CdCu2Ni
Source: the Alexandria database
Functional: PBE
Structure: optimized geometry

Structure (CIF):
```
data_CdCu2Ni
_chemical_formula_sum 'Cd1 Cu2 Ni1'
_space_group_name_H-M_alt 'P 1'
_space_group_IT_number 1
_space_group_name_Hall 'P 1'
_cell_length_a 2.9122
_cell_length_b 3.0014
_cell_length_c 6.2866
_cell_angle_alpha 90.00
_cell_angle_beta 90.00
_cell_angle_gamma 90.00
loop_
_atom_site_label
_atom_site_fract_x
_atom_site_fract_y
_atom_site_fract_z
Cd1 0.0000 0.0000 0.0000
Cu1 0.0000 0.0000 0.4887
Cu2 0.5000 0.5000 0.7049
Ni1 0.5000 0.5000 0.2783
```

Calculated values
N(E_F), states/eV per cell: 2.0
Calculated formation energy, eV/atom: 0.0639
Crystal system: orthorhombic

(12)
Compound: CdCuNi2
Source: the Alexandria database
Functional: PBE
Structure: optimized geometry

Structure (CIF):
```
data_CdCuNi2
_chemical_formula_sum 'Cd1 Cu1 Ni2'
_space_group_name_H-M_alt 'P 1'
_space_group_IT_number 1
_space_group_name_Hall 'P 1'
_cell_length_a 2.9486
_cell_length_b 2.9486
_cell_length_c 6.1853
_cell_angle_alpha 90.00
_cell_angle_beta 90.00
_cell_angle_gamma 90.00
loop_
_atom_site_label
_atom_site_fract_x
_atom_site_fract_y
_atom_site_fract_z
Cd1 0.0000 0.0000 0.0000
Cu1 0.5000 0.5000 0.2965
Ni1 0.0000 0.0000 0.5130
Ni2 0.5000 0.5000 0.7159
```

Calculated values
N(E_F), states/eV per cell: 4.3
Calculated formation energy, eV/atom: 0.0918
Crystal system: tetragonal